Entry 1:
Below is crystalline CoCuRu2 at its relaxed geometry, with properties calculated at the GGA-PBE level.

Cell: 2.7174 4.4521 8.7947 Å, 90.00 90.00 90.00°
Closest atoms and distances in Å follow each position.
Space group Cmm2 (No. 35)
One atom of each set of equivalent atoms:
Co: 0.0000 0.0000 0.0000  2 Cu 2.50, 2 Ru 2.54, 6 Co 2.61-2.72
Cu: 0.0000 0.5000 0.2389  2 Co 2.50, 6 Cu 2.61-2.72, 2 Ru 2.65
Ru: 0.0000 0.0000 0.4970  8 Ru 2.61-2.72, 2 Cu 2.65
Ru: 0.0000 0.5000 0.7564  2 Co 2.54, 8 Ru 2.61-2.72

Summary:
V: 13.30 Å³/atom
DFT total energy: -56.4 eV for the cell shown
energy of formation: 0.392 eV per atom
distance to the lowest polymorph of the same formula: 188 meV per atom

Entry 2:
Below is crystalline Co2CuRu at its relaxed geometry, with properties calculated at the GGA-PBE level.

Cell: 2.5916 2.5916 24.9500 Å, 90.00 90.00 120.00°
Closest atoms and distances in Å follow each position.
Space group R-3m (No. 166, hexagonal axes)
One atom of each set of equivalent atoms:
Co: 0.0000 0.0000 0.2501  3 Cu 2.56, 3 Ru 2.56, 6 Co 2.59
Cu: 0.0000 0.0000 0.0000  6 Co 2.56, 6 Cu 2.59
Ru: 0.0000 0.0000 0.5000  6 Co 2.56, 6 Ru 2.59

Summary:
V: 12.09 Å³/atom
DFT total energy: -80.3 eV for the cell shown
energy of formation: 0.200 eV per atom
distance to the lowest polymorph of the same formula: 20 meV per atom

Repeat the first record exactly.
Below is crystalline CoCuRu2 at its relaxed geometry, with properties calculated at the GGA-PBE level.

Cell: 2.7174 4.4521 8.7947 Å, 90.00 90.00 90.00°
Closest atoms and distances in Å follow each position.
Space group Cmm2 (No. 35)
One atom of each set of equivalent atoms:
Co: 0.0000 0.0000 0.0000  2 Cu 2.50, 2 Ru 2.54, 6 Co 2.61-2.72
Cu: 0.0000 0.5000 0.2389  2 Co 2.50, 6 Cu 2.61-2.72, 2 Ru 2.65
Ru: 0.0000 0.0000 0.4970  8 Ru 2.61-2.72, 2 Cu 2.65
Ru: 0.0000 0.5000 0.7564  2 Co 2.54, 8 Ru 2.61-2.72

Summary:
V: 13.30 Å³/atom
DFT total energy: -56.4 eV for the cell shown
energy of formation: 0.392 eV per atom
distance to the lowest polymorph of the same formula: 188 meV per atom

What is the distance to the lowest polymorph of the same formula in the first record? 188 meV per atom

V of number 1 (CoCuRu2)? 13.30 Å³/atom

Which value of distance to the lowest polymorph of the same formula does entry 1 give? 188 meV per atom